First-principles (PBE) data for a geometry-optimized SiNiIr2 structure, as listed in Alexandria via LeMat-Bulk.

## Properties
* energy relative to the elements, uncorrected: -0.264 eV per atom
* total magnetic moment: 0.00 Bohr magnetons per cell
* DOS(E_F): 0.89 states/eV per atom
* space-group type: No. 8

Cell: 4.779 4.779 4.416 Å, 110.48 110.48 33.56°
Positions (direct):
Si: 0.000 0.000 0.000
Ni: 0.283 0.283 0.663
Ir: 0.523 0.523 0.502
Ir: 0.745 0.745 0.132